A plane-wave DFT calculation with GGA+U was carried out for a geometry-optimized Li3VF6 structure.

ΔE to the lowest computed polymorph	0.000	eV/f.u.
uncorrected energy	-5.38	eV/atom

The structure in CIF format:
```
data_Li3VF6
_cell_length_a 9.739
_cell_length_b 8.617
_cell_length_c 5.121
_cell_angle_alpha 90.00
_cell_angle_beta 90.00
_cell_angle_gamma 90.00
_symmetry_space_group_name_H-M 'P n a 21'
_symmetry_Int_Tables_number 33
loop_
_symmetry_equiv_pos_as_xyz
'x,y,z'
'-x,-y,z+1/2'
'-x+1/2,y+1/2,z+1/2'
'x+1/2,-y+1/2,z'
loop_
_atom_site_label
_atom_site_fract_x
_atom_site_fract_y
_atom_site_fract_z
Li1 0.101 0.055 0.000
Li2 0.125 0.640 0.508
Li3 0.148 0.450 0.003
V1 0.129 0.261 0.502
F1 0.009 0.417 0.322
F2 0.023 0.092 0.350
F3 0.024 0.256 0.832
F4 0.229 0.442 0.648
F5 0.241 0.268 0.181
F6 0.248 0.612 0.185
```